Compound: Tl2As2Pb
Source: the Alexandria database
Functional: PBE-GGA
Structure: relaxed

a b c (Å): 8.449 8.449 3.723
angles (deg): 90.00 90.00 90.00
Space group P4/mbm (No. 127)
Inequivalent atoms, fractional coordinates:
Tl 0.134 0.366 0.000 [4 per cell]
As 0.167 0.667 0.500 [4 per cell]
Pb 0.000 0.000 0.000 [2 per cell]

Summary:
Density of states at the Fermi level ... 0.561 states/eV/atom
Energy of formation from the pure elements ... 281 meV per atom
Total magnetic moment ... 0.00 μB per atom
E above lowest polymorph ... 0.2620 eV per atom


Compound: La2Ag2Pd
Source: the Alexandria database
Functional: PBE-GGA
Structure: relaxed

a b c (Å): 3.887 4.318 15.268
angles (deg): 90.00 90.00 90.00
Space group Amm2 (No. 38)
Inequivalent atoms, fractional coordinates:
La 0.000 0.000 0.000 [2 per cell]
La 0.000 0.000 0.249 [2 per cell]
Ag 0.500 0.000 0.628 [2 per cell]
Ag 0.500 0.000 0.822 [2 per cell]
Pd 0.500 0.000 0.438 [2 per cell]

Summary:
Density of states at the Fermi level ... 0.732 states/eV/atom
Energy of formation from the pure elements ... -454 meV per atom
Total magnetic moment ... 0.00 μB per atom
E above lowest polymorph ... 0.0000 eV per atom


Compound: LuMg2Co
Source: the Alexandria database
Functional: PBE-GGA
Structure: relaxed

a b c (Å): 3.0317 3.0317 32.4643
angles (deg): 90.00 90.00 120.00
Space group R-3m (No. 166, hexagonal axes)
Inequivalent atoms, fractional coordinates:
Lu 0.0000 0.0000 0.0000 [3 per cell]
Mg 0.0000 0.0000 0.4212 [6 per cell]
Co 0.0000 0.0000 0.5000 [3 per cell]

Summary:
Density of states at the Fermi level ... 0.926 states/eV/atom
Energy of formation from the pure elements ... 549 meV per atom
Total magnetic moment ... 0.40 μB per atom


Compound: Sm2Al3Zn4Ga
Source: the Alexandria database
Functional: PBE-GGA
Structure: relaxed

a b c (Å): 4.224 4.224 10.680
angles (deg): 90.00 90.00 90.00
Space group P-4m2 (No. 115)
Inequivalent atoms, fractional coordinates:
Sm 0.000 0.500 0.249 [2 per cell]
Al 0.000 0.500 0.867 [2 per cell]
Al 0.500 0.500 0.500 [1 per cell]
Zn 0.000 0.000 0.000 [1 per cell]
Zn 0.000 0.500 0.638 [2 per cell]
Zn 0.500 0.500 0.000 [1 per cell]
Ga 0.000 0.000 0.500 [1 per cell]

Summary:
Density of states at the Fermi level ... 0.239 states/eV/atom
Energy of formation from the pure elements ... -410 meV per atom
Total magnetic moment ... 0.00 μB per atom


Compound: Ac4In3N
Source: the Alexandria database
Functional: PBE-GGA
Structure: relaxed

a b c (Å): 8.222 8.222 8.222
angles (deg): 90.00 90.00 90.00
Space group I-43m (No. 217)
Inequivalent atoms, fractional coordinates:
Ac 0.175 0.175 0.175 [8 per cell]
In 0.000 0.000 0.500 [6 per cell]
N 0.000 0.000 0.000 [2 per cell]

Summary:
Density of states at the Fermi level ... 0.772 states/eV/atom
Total magnetic moment ... 0.00 μB per atom
Formation energy from raw total energies ... -50 kJ/mol of atoms


Compound: LiPmGa
Source: the Alexandria database
Functional: PBE-GGA
Structure: relaxed

a b c (Å): 3.504 3.504 10.969
angles (deg): 90.00 90.00 90.00
Space group I4mm (No. 107)
Inequivalent atoms, fractional coordinates:
Li 0.000 0.000 0.000 [2 per cell]
Pm 0.000 0.000 0.291 [2 per cell]
Ga 0.000 0.000 0.612 [2 per cell]

Summary:
Density of states at the Fermi level ... 1.186 states/eV/atom
Energy of formation from the pure elements ... -219 meV per atom
Total magnetic moment ... 0.00 μB per atom
E above lowest polymorph ... 0.1684 eV per atom


Compound: Na2P2Pd3
Source: the Alexandria database
Functional: PBE-GGA
Structure: relaxed

a b c (Å): 6.128 5.827 8.751
angles (deg): 90.00 124.28 90.00
Space group P2_1/c (No. 14)
Inequivalent atoms, fractional coordinates:
Na 0.156 0.083 0.380 [4 per cell]
P 0.357 0.620 0.501 [4 per cell]
Pd 0.000 0.000 0.000 [2 per cell]
Pd 0.438 0.693 0.264 [4 per cell]

Summary:
Density of states at the Fermi level ... 0.307 states/eV/atom
Energy of formation from the pure elements ... -475 meV per atom
Total magnetic moment ... 0.00 μB per atom
E above lowest polymorph ... 0.0000 eV per atom


Compound: LiTlNiPt
Source: the Alexandria database
Functional: PBE-GGA
Structure: relaxed

a b c (Å): 6.238 6.238 6.238
angles (deg): 90.00 90.00 90.00
Space group F-43m (No. 216)
Inequivalent atoms, fractional coordinates:
Li 0.000 0.000 0.000 [4 per cell]
Tl 0.250 0.250 0.750 [4 per cell]
Ni 0.000 0.000 0.500 [4 per cell]
Pt 0.250 0.250 0.250 [4 per cell]

Summary:
Density of states at the Fermi level ... 0.705 states/eV/atom
Energy of formation from the pure elements ... -159 meV per atom
Total magnetic moment ... 0.00 μB per atom